[1]
Below is a geometry-optimized Nd3Sm6Y2Ho structure, with properties calculated at the PBE level.

Lattice parameters (Å, degrees): 6.284 10.882 12.004 90.00 100.03 90.00
Space group C2/m (No. 12)
One atom of each set of equivalent atoms:
Nd  0.000  0.000  0.000 x2
Nd  0.000  0.333  0.000 x4
Sm  0.249  0.334  0.746 x8
Sm  0.250  0.000  0.746 x4
Y  0.000  0.167  0.500 x4
Ho  0.000  0.500  0.500 x2

- Energy relative to the elements: 15 meV/atom

---

[2]
Below is a geometry-optimized AlRe2Bi structure, with properties calculated at the PBE level.

Lattice parameters (Å, degrees): 4.205 4.205 18.500 90.00 90.00 90.00
Space group I-42d (No. 122)
One atom of each set of equivalent atoms:
Al  0.000  0.000  0.000 x4
Re  0.156  0.250  0.125 x8
Bi  0.000  0.000  0.500 x4

- E above lowest polymorph: 48 meV/atom
- Energy relative to the elements: 763 meV/atom

---

[3]
Below is a geometry-optimized Te2SI structure, with properties calculated at the PBE level.

Lattice parameters (Å, degrees): 3.7411 3.7411 30.4042 90.00 90.00 120.00
Space group R-3m (No. 166, hexagonal axes)
One atom of each set of equivalent atoms:
Te  0.0000  0.0000  0.0797 x6
S  0.0000  0.0000  0.0000 x3
I  0.0000  0.0000  0.5000 x3

- E above lowest polymorph: 78 meV/atom
- Formation energy without anion corrections: 401.6 meV per atom

---

[4]
Below is a geometry-optimized ZnNi2Pb structure, with properties calculated at the PBE level.

Lattice parameters (Å, degrees): 3.126 3.122 6.307 90.00 91.93 90.00
Space group P2/m (No. 10)
One atom of each set of equivalent atoms:
Zn  0.000  0.000  0.000 x1
Ni  0.483  0.500  0.796 x2
Pb  0.000  0.000  0.500 x1

- Energy relative to the elements: 104 meV/atom

---

[5]
Below is a geometry-optimized YEr3Ir structure, with properties calculated at the PBE level.

Lattice parameters (Å, degrees): 7.544 6.503 6.133 90.00 90.00 90.00
Space group Pmn2_1 (No. 31)
One atom of each set of equivalent atoms:
Y  0.000  0.151  0.000 x2
Er  0.000  0.847  0.493 x2
Er  0.250  0.314  0.497 x4
Ir  0.000  0.503  0.745 x2

- Energy relative to the elements: -356 meV/atom

---

[6]
Below is a geometry-optimized Sc2CoOsBr structure, with properties calculated at the PBE level.

Lattice parameters (Å, degrees): 4.882 4.882 4.123 90.00 90.00 90.00
Space group P4/mmm (No. 123)
One atom of each set of equivalent atoms:
Sc  0.000  0.500  0.000 x2
Co  0.000  0.000  0.500 x1
Os  0.500  0.500  0.500 x1
Br  0.000  0.000  0.000 x1

- Formation energy without anion corrections: 646.8 meV per atom